No. 1
Here is InSbTeI2 after structural relaxation from Alexandria. Energies are from PBE.

Computed properties:
- DOS(E_F): 0.29 states/eV per atom
- Spin magnetization: 0.00 μB/f.u.
- Total DFT energy (no corrections): -13.300 eV/cell
- Energy relative to the lowest polymorph listed for this composition: 0.000 eV per atom
- Crystal system: tetragonal
- Formation energy from raw total energies: -39 meV/atom

abc: 6.233 6.233 5.971
angles: 90.00 90.00 90.00
Space group P4/mmm (No. 123)
Asymmetric unit:
In 0.000 0.000 0.000 [1 per cell]
Sb 0.500 0.500 0.500 [1 per cell]
Te 0.500 0.500 0.000 [1 per cell]
I 0.000 0.500 0.500 [2 per cell]

No. 2
Here is TiInSbI2 after structural relaxation from Alexandria. Energies are from PBE.

Computed properties:
- DOS(E_F): 0.81 states/eV per atom
- Spin magnetization: 0.39 μB/f.u.
- Total DFT energy (no corrections): -18.431 eV/cell
- Energy relative to the lowest polymorph listed for this composition: 0.000 eV per atom
- Crystal system: tetragonal
- Formation energy from raw total energies: -115 meV/atom

abc: 5.645 5.645 5.400
angles: 90.00 90.00 90.00
Space group P4/mmm (No. 123)
Asymmetric unit:
Ti 0.000 0.000 0.000 [1 per cell]
In 0.500 0.500 0.500 [1 per cell]
Sb 0.000 0.000 0.500 [1 per cell]
I 0.000 0.500 0.000 [2 per cell]

> Look up the energy relative to the lowest polymorph listed for this composition of the first one.

0.000 eV per atom

> Among the records above, which one has the lowest total DFT energy (no corrections)?

TiInSbI2